# 1
Density functional theory data (PBE) for a relaxed structure of ScNiSb2.

```
ScNiSb2
1.0
0.000 3.454 3.454
3.454 0.000 3.454
3.454 3.454 0.000
Sc Sb Ni
1 2 1
direct
0.000 0.000 0.000
0.750 0.750 0.750
0.250 0.250 0.250
0.500 0.500 0.500
```

Results
V = 20.6 Å³ per atom
ΔE_f (raw) = -0.12 eV/atom



# 2
Density functional theory data (PBE) for a relaxed structure of ScNi2Sb.

```
ScNi2Sb
1.0
4.936 -0.005 -0.026
1.769 4.608 0.026
-3.340 -2.319 2.798
Ni Sb Sc
2 1 1
direct
0.750 0.250 0.500
0.000 0.000 0.000
0.500 0.500 0.000
0.250 0.750 0.500
```

Results
V = 15.9 Å³ per atom
ΔE_f (raw) = -0.36 eV/atom



# 3
Density functional theory data (PBE) for a relaxed structure of Sc2NiSb.

```
Sc2NiSb
1.0
5.910 2.724 6.354
6.060 -0.809 6.735
8.012 0.794 4.231
Ni Sc Sb
1 2 1
direct
0.500 0.500 0.500
0.111 0.111 0.111
0.889 0.889 0.889
0.000 0.000 0.000
```

Results
V = 24.3 Å³ per atom
ΔE_f (raw) = -0.14 eV/atom